A plane-wave DFT calculation with PBE-GGA was carried out for Sm2PuTlN after structural relaxation.

The space group is P4/mmm. The density of states at the Fermi level comes out at 7.7 states/eV per cell. As for the energy relative to the elements, uncorrected: -0.72 eV/atom. As for the raw total energy: -7.6159 eV/atom.

a b c (Å): 5.027 5.027 4.712
angles (deg): 90.00 90.00 90.00
Atoms (fractional coordinates):
Sm (0.000, 0.500, 0.000)
Sm (0.500, 0.000, 0.000)
Pu (0.000, 0.000, 0.500)
Tl (0.500, 0.500, 0.500)
N (0.000, 0.000, 0.000)